1.
! PmZnPt4 | Alexandria | PBE | relaxed; values from VASP
! **Energy**: -68.6 eV/cell
! **Formation enthalpy at 0 K**: -0.687 eV/atom
! **Relative energy among the computed polymorphs**: 82 meV/atom
&SYSTEM
  ibrav = 0, nat = 12, ntyp = 3
/
ATOMIC_SPECIES
Pm 145.00 Pm.upf
Zn 65.41 Zn.upf
Pt 195.08 Pt.upf
ATOMIC_POSITIONS crystal
Pm 0.250 0.000 0.150
Pm 0.750 0.000 0.850
Zn 0.250 0.000 0.735
Zn 0.750 0.000 0.265
Pt 0.000 0.000 0.500
Pt 0.049 0.500 0.810
Pt 0.250 0.500 0.461
Pt 0.451 0.500 0.810
Pt 0.500 0.000 0.500
Pt 0.549 0.500 0.190
Pt 0.750 0.500 0.539
Pt 0.951 0.500 0.190
CELL_PARAMETERS angstrom
7.496 0.000 0.000
0.000 4.117 0.000
0.000 0.000 6.956



2.
! Cd2InRh | Alexandria | PBE | relaxed; values from VASP
! **Energy**: -48.2 eV/cell
! **Formation enthalpy at 0 K**: -0.033 eV/atom
&SYSTEM
  ibrav = 0, nat = 16, ntyp = 3
/
ATOMIC_SPECIES
Cd 112.41 Cd.upf
In 114.82 In.upf
Rh 102.91 Rh.upf
ATOMIC_POSITIONS crystal
Cd 0.000 0.000 0.000
Cd 0.000 0.500 0.500
Cd 0.250 0.250 0.250
Cd 0.250 0.750 0.750
Cd 0.500 0.000 0.500
Cd 0.500 0.500 0.000
Cd 0.750 0.250 0.750
Cd 0.750 0.750 0.250
In 0.000 0.000 0.500
In 0.000 0.500 0.000
In 0.500 0.000 0.000
In 0.500 0.500 0.500
Rh 0.250 0.250 0.750
Rh 0.250 0.750 0.250
Rh 0.750 0.250 0.250
Rh 0.750 0.750 0.750
CELL_PARAMETERS angstrom
6.729 0.000 0.000
0.000 6.729 0.000
0.000 0.000 6.729



3.
! AcSi3Ir | Alexandria | PBE | relaxed; values from VASP
! **Energy**: -66.3 eV/cell
&SYSTEM
  ibrav = 0, nat = 10, ntyp = 3
/
ATOMIC_SPECIES
Ac 227.00 Ac.upf
Si 28.09 Si.upf
Ir 192.22 Ir.upf
ATOMIC_POSITIONS crystal
Ac 0.000 0.000 0.000
Ac 0.500 0.500 0.500
Si 0.000 0.000 0.407
Si 0.000 0.500 0.259
Si 0.000 0.500 0.759
Si 0.500 0.000 0.259
Si 0.500 0.000 0.759
Si 0.500 0.500 0.907
Ir 0.000 0.000 0.652
Ir 0.500 0.500 0.152
CELL_PARAMETERS angstrom
4.378 0.000 0.000
0.000 4.378 0.000
0.000 0.000 9.957



4.
! Rb2VFe | Alexandria | PBE | relaxed; values from VASP
! **Energy**: -51.1 eV/cell
! **Formation enthalpy at 0 K**: 1.688 eV/atom
! **Relative energy among the computed polymorphs**: 590 meV/atom
&SYSTEM
  ibrav = 0, nat = 16, ntyp = 3
/
ATOMIC_SPECIES
Rb 85.47 Rb.upf
V 50.94 V.upf
Fe 55.84 Fe.upf
ATOMIC_POSITIONS crystal
Rb 0.250 0.250 0.250
Rb 0.250 0.250 0.750
Rb 0.250 0.750 0.250
Rb 0.250 0.750 0.750
Rb 0.750 0.250 0.250
Rb 0.750 0.250 0.750
Rb 0.750 0.750 0.250
Rb 0.750 0.750 0.750
V 0.000 0.000 0.000
V 0.000 0.500 0.500
V 0.500 0.000 0.500
V 0.500 0.500 0.000
Fe 0.000 0.000 0.500
Fe 0.000 0.500 0.000
Fe 0.500 0.000 0.000
Fe 0.500 0.500 0.500
CELL_PARAMETERS angstrom
8.599 0.000 0.000
0.000 8.599 0.000
0.000 0.000 8.599



5.
! Li2Ca2Cd3 | Alexandria | PBE | relaxed; values from VASP
! **Energy**: -24.6 eV/cell
! **Formation enthalpy at 0 K**: -0.248 eV/atom
&SYSTEM
  ibrav = 0, nat = 14, ntyp = 3
/
ATOMIC_SPECIES
Li 6.94 Li.upf
Ca 40.08 Ca.upf
Cd 112.41 Cd.upf
ATOMIC_POSITIONS crystal
Li 0.000 0.216 0.000
Li 0.000 0.784 0.000
Li 0.500 0.284 0.000
Li 0.500 0.716 0.000
Ca 0.000 0.083 0.000
Ca 0.000 0.917 0.000
Ca 0.500 0.417 0.000
Ca 0.500 0.583 0.000
Cd 0.000 0.328 0.500
Cd 0.000 0.500 0.500
Cd 0.000 0.672 0.500
Cd 0.500 0.000 0.500
Cd 0.500 0.172 0.500
Cd 0.500 0.828 0.500
CELL_PARAMETERS angstrom
3.985 0.000 0.000
0.000 23.477 0.000
0.000 0.000 3.591



6.
! Dy7MgZn4 | Alexandria | PBE | relaxed; values from VASP
! **Energy**: -39.4 eV/cell
! **Formation enthalpy at 0 K**: -0.038 eV/atom
&SYSTEM
  ibrav = 0, nat = 12, ntyp = 3
/
ATOMIC_SPECIES
Dy 162.50 Dy.upf
Mg 24.30 Mg.upf
Zn 65.41 Zn.upf
ATOMIC_POSITIONS crystal
Dy 0.000 0.000 0.000
Dy 0.228 0.228 0.685
Dy 0.306 0.306 0.121
Dy 0.424 0.424 0.589
Dy 0.576 0.576 0.411
Dy 0.694 0.694 0.879
Dy 0.772 0.772 0.315
Mg 0.500 0.500 0.000
Zn 0.026 0.026 0.694
Zn 0.182 0.182 0.338
Zn 0.818 0.818 0.662
Zn 0.974 0.974 0.306
CELL_PARAMETERS angstrom
6.955 -2.796 0.000
6.955 2.796 0.000
-4.768 0.000 7.868



7.
! NdEr2In2Ag2 | Alexandria | PBE | relaxed; values from VASP
! **Energy**: -27.1 eV/cell
! **Formation enthalpy at 0 K**: -0.286 eV/atom
&SYSTEM
  ibrav = 0, nat = 7, ntyp = 4
/
ATOMIC_SPECIES
Nd 144.24 Nd.upf
Er 167.26 Er.upf
In 114.82 In.upf
Ag 107.87 Ag.upf
ATOMIC_POSITIONS crystal
Nd 0.000 0.000 0.000
Er 0.128 0.128 0.128
Er 0.872 0.872 0.872
In 0.257 0.257 0.257
In 0.743 0.743 0.743
Ag 0.408 0.408 0.408
Ag 0.592 0.592 0.592
CELL_PARAMETERS angstrom
2.439 1.408 8.886
-2.439 1.408 8.886
0.000 -2.816 8.886



8.
! BeNb3Ru2 | Alexandria | PBE | relaxed; values from VASP
! **Energy**: -105.8 eV/cell
! **Formation enthalpy at 0 K**: -0.072 eV/atom
&SYSTEM
  ibrav = 0, nat = 12, ntyp = 3
/
ATOMIC_SPECIES
Be 9.01 Be.upf
Nb 92.91 Nb.upf
Ru 101.07 Ru.upf
ATOMIC_POSITIONS crystal
Be 0.000 0.000 0.000
Be 0.500 0.500 0.000
Nb 0.000 0.337 0.000
Nb 0.000 0.500 0.500
Nb 0.000 0.663 0.000
Nb 0.500 0.000 0.500
Nb 0.500 0.163 0.000
Nb 0.500 0.837 0.000
Ru 0.000 0.165 0.500
Ru 0.000 0.835 0.500
Ru 0.500 0.335 0.500
Ru 0.500 0.665 0.500
CELL_PARAMETERS angstrom
4.385 0.000 0.000
0.000 13.218 0.000
0.000 0.000 3.213



- What is the formula in the seventh record?
  NdEr2In2Ag2



- The lowest energy belongs to which entry?
  BeNb3Ru2



- Which of these has the lowest energy?
  BeNb3Ru2